The following is a GGA+U calculation of a geometry-optimized Na2PrCo3F12 structure, from Alexandria. Values from VASP.

Structure (Quantum ESPRESSO input):
```
&SYSTEM
  ibrav = 0, nat = 18, ntyp = 4
/
ATOMIC_SPECIES
Na 22.99 Na.upf
Pr 140.91 Pr.upf
Co 58.93 Co.upf
F 19.00 F.upf
CELL_PARAMETERS angstrom
6.859 -0.358 -0.254
3.077 6.141 -0.254
3.077 1.791 5.880
ATOMIC_POSITIONS angstrom
Na 8.339 4.854 3.443
Na 4.674 2.721 1.930
Pr 0.000 0.000 0.000
Co 3.430 -0.179 -0.127
Co 1.538 3.071 -0.127
Co 1.538 0.895 2.940
F 5.311 3.092 5.117
F 9.812 5.712 2.006
F 8.134 6.665 4.727
F 7.711 1.729 1.226
F 9.812 3.781 4.727
F 5.311 5.851 1.226
F 7.701 4.483 0.256
F 3.201 1.863 3.366
F 4.879 0.910 0.645
F 5.302 5.846 4.146
F 3.201 3.793 0.645
F 7.701 1.723 4.146
```

Values from the calculation:
size of the total moment	10.000	μB per formula unit
symmetry	R-3m
electronic total energy	-5.13	eV per atom